Compound: K2MnTlBr6
Source: Alexandria
Functional: PBE
Structure: optimized geometry

Results
Total magnetization, μB/cell: 7.999
Formation energy (no corrections), kJ/mol of atoms: -109

a = 7.615 Å, b = 8.060 Å, c = 13.337 Å
α = 90.00°, β = 124.04°, γ = 90.00°
Positions (direct):
K 0.218 0.079 0.245
K 0.218 0.421 0.745
K 0.782 0.579 0.255
K 0.782 0.921 0.755
Mn 0.000 0.000 0.500
Mn 0.000 0.500 0.000
Tl 0.500 0.000 0.000
Tl 0.500 0.500 0.500
Br 0.118 0.225 0.949
Br 0.118 0.275 0.449
Br 0.226 0.671 0.950
Br 0.226 0.829 0.450
Br 0.321 0.022 0.722
Br 0.321 0.478 0.222
Br 0.679 0.522 0.778
Br 0.679 0.978 0.278
Br 0.774 0.171 0.550
Br 0.774 0.329 0.050
Br 0.882 0.725 0.551
Br 0.882 0.775 0.051